CaAs2WO8 (PBE with a Hubbard U, optimized geometry); raw total energy = -6.49 eV/atom; M_tot = 2.0 μB/cell; calculated density = 5389 kg/m3
1.0
5.8803 -0.0209 0.0000
-2.6268 5.2610 0.0000
-1.6268 -2.6201 5.0067
Ca As W O
1 2 1 8
Cartesian
-1.3134 2.6305 2.5034
2.9402 -0.0104 2.5034
1.6268 2.6201 0.0000
0.0000 0.0000 0.0000
1.5643 -0.4081 1.5442
0.2475 2.0699 0.8816
0.1187 -1.4802 4.1251
3.1940 -1.4199 3.4625
3.0060 3.1702 0.8816
4.3160 0.3872 1.5442
2.6863 1.3991 3.4625
-0.1187 1.4802 4.1251